A crystal of ZnTcNF2 relaxed with PBEsol, computed with meta-GGA SCAN.

Results
Space-group type: P4/mmm, No. 123
Energy relative to the elements, uncorrected: -655.9 meV per atom

Unit cell a=3.775 b=4.083 c=4.083 alpha=90.00 beta=90.00 gamma=90.00
Fractional positions:
Zn1 0.500 0.500 0.500
N1 0.500 0.000 0.000
Tc1 0.000 0.000 0.000
F1 0.000 0.000 0.500
F2 0.000 0.500 0.000

=====

A crystal of Te2NF relaxed with PBEsol, computed with meta-GGA SCAN.

Results
Offset from the most stable computed form: 0 meV/atom
Space-group type: I-42d, No. 122
Energy relative to the elements, uncorrected: 79.2 meV per atom

Unit cell a=4.535 b=4.535 c=7.889 alpha=106.70 beta=106.70 gamma=90.00
Fractional positions:
N1 0.750 0.250 0.500
N2 0.500 0.500 0.000
Te1 0.808 0.375 0.250
Te2 0.442 0.875 0.250
Te3 0.625 0.558 0.750
Te4 0.125 0.192 0.750
F1 0.250 0.750 0.500
F2 0.000 0.000 0.000

=====

A crystal of Te2NF relaxed with PBEsol, computed with meta-GGA SCAN.

Results
Offset from the most stable computed form: 153 meV/atom
Space-group type: R-3m, No. 166
Energy relative to the elements, uncorrected: 231.9 meV per atom

Unit cell a=3.193 b=3.193 c=8.034 alpha=78.54 beta=78.54 gamma=60.00
Fractional positions:
N1 0.500 0.500 0.500
Te1 0.903 0.903 0.290
Te2 0.097 0.097 0.710
F1 0.000 0.000 0.000

=====

A crystal of TeNF2 relaxed with PBEsol, computed with meta-GGA SCAN.

Results
Space-group type: R-3m, No. 166
Energy relative to the elements, uncorrected: 189.0 meV per atom

Unit cell a=3.292 b=3.292 c=8.880 alpha=79.32 beta=79.32 gamma=60.00
Last column: magnetic moment on the atom in μB.
Fractional positions:
N1 0.500 0.500 0.500  1.94
Te1 0.000 0.000 0.000  0.00
F1 0.924 0.924 0.227  0.00
F2 0.076 0.076 0.773  0.00

=====

A crystal of TlTe2NF relaxed with PBEsol, computed with meta-GGA SCAN.

Results
Space-group type: P4/mmm, No. 123
Energy relative to the elements, uncorrected: 598.4 meV per atom

Unit cell a=4.735 b=4.735 c=5.316 alpha=90.00 beta=90.00 gamma=90.00
Last column: magnetic moment on the atom in μB.
Fractional positions:
N1 0.000 0.000 0.500  1.83
Tl1 0.500 0.500 0.500  0.01
Te1 0.000 0.500 0.000  0.08
Te2 0.500 0.000 0.000  0.08
F1 0.000 0.000 0.000  0.02

=====

A crystal of YTe2NF relaxed with PBEsol, computed with meta-GGA SCAN.

Results
Space-group type: P4/mmm, No. 123
Energy relative to the elements, uncorrected: 190.7 meV per atom

Unit cell a=4.211 b=5.818 c=5.818 alpha=90.00 beta=90.00 gamma=90.00
Last column: magnetic moment on the atom in μB.
Fractional positions:
Y1 0.000 0.000 0.000  0.12
N1 0.500 0.000 0.000  1.12
Te1 0.000 0.000 0.500  0.66
Te2 0.000 0.500 0.000  0.66
F1 0.500 0.500 0.500  0.35

=====

A crystal of ZnTeN2F relaxed with PBEsol, computed with meta-GGA SCAN.

Results
Space-group type: P4/mmm, No. 123
Energy relative to the elements, uncorrected: 759.1 meV per atom

Unit cell a=4.061 b=4.061 c=4.138 alpha=90.00 beta=90.00 gamma=90.00
Fractional positions:
N1 0.000 0.500 0.000
N2 0.500 0.000 0.000
Zn1 0.500 0.500 0.500
Te1 0.000 0.000 0.000
F1 0.000 0.000 0.500

=====

A crystal of ZnTeNF2 relaxed with PBEsol, computed with meta-GGA SCAN.

Results
Space-group type: P4/mmm, No. 123
Energy relative to the elements, uncorrected: -148.3 meV per atom

Unit cell a=4.080 b=4.451 c=4.451 alpha=90.00 beta=90.00 gamma=90.00
Last column: magnetic moment on the atom in μB.
Fractional positions:
N1 0.500 0.000 0.000  0.13
Zn1 0.500 0.500 0.500  0.33
Te1 0.000 0.000 0.000  0.03
F1 0.000 0.000 0.500  0.01
F2 0.000 0.500 0.000  0.01

=====

A crystal of TiNF relaxed with PBEsol, computed with meta-GGA SCAN.

Results
Space-group type: Pmmn, No. 59
Energy relative to the elements, uncorrected: -2443.2 meV per atom

Unit cell a=3.037 b=3.928 c=5.975 alpha=90.00 beta=90.00 gamma=90.00
Fractional positions:
F1 0.000 0.000 0.642
F2 0.500 0.500 0.358
Ti1 0.500 0.000 0.865
Ti2 0.000 0.500 0.135
N1 0.500 0.500 0.920
N2 0.000 0.000 0.080

=====

A crystal of Ti2NF relaxed with PBEsol, computed with meta-GGA SCAN.

Results
Space-group type: I-42d, No. 122
Energy relative to the elements, uncorrected: -1589.9 meV per atom

Unit cell a=4.761 b=4.761 c=5.714 alpha=114.62 beta=114.62 gamma=90.00
Fractional positions:
N1 0.750 0.250 0.500
N2 0.500 0.500 0.000
F1 0.250 0.750 0.500
F2 0.000 0.000 0.000
Ti1 0.417 0.875 0.250
Ti2 0.833 0.375 0.250
Ti3 0.125 0.167 0.750
Ti4 0.625 0.583 0.750

=====

A crystal of TiWNF2 relaxed with PBEsol, computed with meta-GGA SCAN.

Results
Space-group type: P4/mmm, No. 123
Energy relative to the elements, uncorrected: -645.4 meV per atom

Unit cell a=3.933 b=4.077 c=4.077 alpha=90.00 beta=90.00 gamma=90.00
Last column: magnetic moment on the atom in μB.
Fractional positions:
N1 0.500 0.000 0.000  0.02
F1 0.000 0.000 0.500  -0.02
F2 0.000 0.500 0.000  -0.02
W1 0.000 0.000 0.000  -0.87
Ti1 0.500 0.500 0.500  2.12

=====

A crystal of TiWN2F relaxed with PBEsol, computed with meta-GGA SCAN.

Results
Space-group type: P4/mmm, No. 123
Energy relative to the elements, uncorrected: -517.6 meV per atom

Unit cell a=3.883 b=3.948 c=3.948 alpha=90.00 beta=90.00 gamma=90.00
Last column: magnetic moment on the atom in μB.
Fractional positions:
N1 0.000 0.000 0.500  -0.03
N2 0.000 0.500 0.000  -0.03
F1 0.500 0.000 0.000  0.04
W1 0.000 0.000 0.000  0.01
Ti1 0.500 0.500 0.500  1.75

=====

A crystal of TlNF3 relaxed with PBEsol, computed with meta-GGA SCAN.

Results
Space-group type: Pm-3m, No. 221
Energy relative to the elements, uncorrected: -128.5 meV per atom

Unit cell a=3.943 b=3.943 c=3.943 alpha=90.00 beta=90.00 gamma=90.00
Last column: magnetic moment on the atom in μB.
Fractional positions:
F1 0.000 0.500 0.500  -0.07
F2 0.500 0.000 0.500  -0.07
F3 0.500 0.500 0.000  -0.07
N1 0.500 0.500 0.500  1.03
Tl1 0.000 0.000 0.000  -0.09

=====

A crystal of YTlNF2 relaxed with PBEsol, computed with meta-GGA SCAN.

Results
Space-group type: P4/mmm, No. 123
Energy relative to the elements, uncorrected: -954.1 meV per atom

Unit cell a=4.216 b=4.458 c=4.458 alpha=90.00 beta=90.00 gamma=90.00
Last column: magnetic moment on the atom in μB.
Fractional positions:
Y1 0.500 0.500 0.500  0.39
Tl1 0.000 0.000 0.000  -0.01
N1 0.500 0.000 0.000  -0.02
F1 0.000 0.000 0.500  0.02
F2 0.000 0.500 0.000  0.02

=====

A crystal of YZrN2F relaxed with PBEsol, computed with meta-GGA SCAN.

Results
Space-group type: P4/mmm, No. 123
Energy relative to the elements, uncorrected: -1861.5 meV per atom

Unit cell a=3.945 b=4.248 c=4.248 alpha=90.00 beta=90.00 gamma=90.00
Fractional positions:
Y1 0.500 0.500 0.500
N1 0.000 0.000 0.500
N2 0.000 0.500 0.000
Zr1 0.000 0.000 0.000
F1 0.500 0.000 0.000

=====

A crystal of YZrNF2 relaxed with PBEsol, computed with meta-GGA SCAN.

Results
Space-group type: P4/mmm, No. 123
Energy relative to the elements, uncorrected: -2029.2 meV per atom

Unit cell a=4.169 b=4.169 c=4.304 alpha=90.00 beta=90.00 gamma=90.00
Last column: magnetic moment on the atom in μB.
Fractional positions:
Y1 0.500 0.500 0.500  0.69
N1 0.000 0.000 0.500  -0.05
Zr1 0.000 0.000 0.000  0.46
F1 0.000 0.500 0.000  0.05
F2 0.500 0.000 0.000  0.05

=====

A crystal of ZnN2F2 relaxed with PBEsol, computed with meta-GGA SCAN.

Results
Offset from the most stable computed form: 1379 meV/atom
Space-group type: P4/mmm, No. 123
Energy relative to the elements, uncorrected: 631.4 meV per atom

Unit cell a=4.001 b=4.001 c=3.974 alpha=90.00 beta=90.00 gamma=90.00
Last column: magnetic moment on the atom in μB.
Fractional positions:
Zn1 0.000 0.000 0.000  0.20
N1 0.500 0.500 0.500  1.94
N2 0.000 0.000 0.500  1.75
F1 0.000 0.500 0.000  0.19
F2 0.500 0.000 0.000  0.19

=====

A crystal of ZnN2F2 relaxed with PBEsol, computed with meta-GGA SCAN.

Results
Offset from the most stable computed form: 0 meV/atom
Space-group type: I4/mmm, No. 139
Energy relative to the elements, uncorrected: -747.2 meV per atom

Unit cell a=4.079 b=4.079 c=4.079 alpha=102.14 beta=113.26 gamma=113.26
Fractional positions:
Zn1 0.000 0.000 0.000
N1 0.000 0.608 0.608
N2 0.000 0.392 0.392
F1 0.500 0.750 0.250
F2 0.500 0.250 0.750

=====

A crystal of Zn2NF relaxed with PBEsol, computed with meta-GGA SCAN.

Results
Space-group type: I-42d, No. 122
Energy relative to the elements, uncorrected: -950.2 meV per atom

Unit cell a=4.632 b=4.632 c=5.900 alpha=113.11 beta=113.11 gamma=90.00
Fractional positions:
Zn1 0.440 0.875 0.250
Zn2 0.810 0.375 0.250
Zn3 0.125 0.190 0.750
Zn4 0.625 0.560 0.750
N1 0.750 0.250 0.500
N2 0.500 0.500 0.000
F1 0.250 0.750 0.500
F2 0.000 0.000 0.000

=====

A crystal of ZnN2F2 relaxed with PBEsol, computed with meta-GGA SCAN.

Results
Offset from the most stable computed form: 1696 meV/atom
Space-group type: P4/mmm, No. 123
Energy relative to the elements, uncorrected: 948.6 meV per atom

Unit cell a=3.792 b=3.971 c=3.971 alpha=90.00 beta=90.00 gamma=90.00
Last column: magnetic moment on the atom in μB.
Fractional positions:
Zn1 0.000 0.000 0.000  0.12
N1 0.000 0.000 0.500  1.43
N2 0.000 0.500 0.000  1.43
F1 0.500 0.500 0.500  -0.21
F2 0.500 0.000 0.000  0.12

=====

A crystal of Na2NbF6 relaxed with PBEsol, computed with meta-GGA SCAN.

Results
Space-group type: P4_2/mnm, No. 136
Energy relative to the elements, uncorrected: -3088.5 meV per atom

Unit cell a=5.041 b=5.041 c=10.301 alpha=90.00 beta=90.00 gamma=90.00
Last column: magnetic moment on the atom in μB.
Fractional positions:
Na1 0.000 0.000 0.334  0.00
Na2 0.500 0.500 0.834  0.00
Na3 0.000 0.000 0.666  0.00
Na4 0.500 0.500 0.166  0.00
Nb1 0.000 0.000 0.000  0.82
Nb2 0.500 0.500 0.500  0.82
F1 0.685 0.685 0.648  0.02
F2 0.315 0.315 0.648  0.02
F3 0.685 0.685 0.352  0.02
F4 0.185 0.815 0.148  0.02
F5 0.815 0.185 0.148  0.02
F6 0.815 0.185 0.852  0.02
F7 0.277 0.277 0.000  -0.01
F8 0.223 0.777 0.500  -0.01
F9 0.777 0.223 0.500  -0.01
F10 0.723 0.723 0.000  -0.01
F11 0.315 0.315 0.352  0.02
F12 0.185 0.815 0.852  0.02

=====

A crystal of Na3NbOF6 relaxed with PBEsol, computed with meta-GGA SCAN.

Results
Space-group type: P2_12_12_1, No. 19
Energy relative to the elements, uncorrected: -3074.3 meV per atom

Unit cell a=5.671 b=5.767 c=16.829 alpha=90.00 beta=90.00 gamma=90.00
Last column: magnetic moment on the atom in μB.
Fractional positions:
Na1 0.759 0.484 0.624  0.00
Na2 0.765 0.969 0.242  0.00
Na3 0.782 0.993 0.505  0.00
Na4 0.741 0.516 0.124  0.00
Na5 0.718 0.007 0.005  0.00
Na6 0.241 0.984 0.876  0.00
Na7 0.282 0.507 0.495  0.00
Na8 0.235 0.469 0.258  0.00
Na9 0.735 0.031 0.742  0.00
Na10 0.218 0.493 0.995  0.00
Na11 0.259 0.016 0.376  0.00
Na12 0.265 0.531 0.758  0.00
Nb1 0.743 0.492 0.375  -0.01
Nb2 0.757 0.508 0.875  -0.01
Nb3 0.257 0.992 0.125  -0.01
Nb4 0.243 0.008 0.625  -0.01
O1 0.986 0.842 0.110  0.06
O2 0.486 0.658 0.890  0.06
O3 0.014 0.342 0.390  0.06
O4 0.514 0.158 0.610  0.06
F1 0.587 0.160 0.134  0.00
F2 0.653 0.421 0.761  0.01
F3 0.922 0.727 0.798  0.00
F4 0.866 0.825 0.376  0.00
F5 0.282 0.106 0.010  0.00
F6 0.087 0.340 0.866  0.00
F7 0.347 0.921 0.739  0.01
F8 0.078 0.227 0.702  0.00
F9 0.153 0.079 0.239  0.01
F10 0.913 0.840 0.634  0.00
F11 0.718 0.606 0.490  0.00
F12 0.948 0.748 0.939  0.01
F13 0.847 0.579 0.261  0.01
F14 0.413 0.660 0.366  0.00
F15 0.782 0.394 0.990  0.00
F16 0.052 0.248 0.561  0.01
F17 0.578 0.273 0.298  0.00
F18 0.448 0.752 0.061  0.01
F19 0.134 0.325 0.124  0.00
F20 0.552 0.252 0.439  0.01
F21 0.366 0.675 0.624  0.00
F22 0.422 0.773 0.202  0.00
F23 0.634 0.175 0.876  0.00
F24 0.218 0.894 0.510  0.00

=====

A crystal of NaNbO2F relaxed with PBEsol, computed with meta-GGA SCAN.

Results
Space-group type: P4/mmm, No. 123
Energy relative to the elements, uncorrected: -2523.3 meV per atom

Unit cell a=3.990 b=3.990 c=4.163 alpha=90.00 beta=90.00 gamma=90.00
Fractional positions:
Na1 0.500 0.500 0.500
Nb1 0.000 0.000 0.000
O1 0.000 0.500 0.000
O2 0.500 0.000 0.000
F1 0.000 0.000 0.500

=====

A crystal of NaNbO2F2 relaxed with PBEsol, computed with meta-GGA SCAN.

Results
Space-group type: P2_1/c, No. 14
Energy relative to the elements, uncorrected: -2960.3 meV per atom

Unit cell a=5.419 b=7.635 c=8.040 alpha=101.77 beta=90.00 gamma=90.00
Fractional positions:
Na1 0.221 0.123 0.359
Na2 0.779 0.877 0.641
Na3 0.279 0.623 0.359
Na4 0.721 0.377 0.641
Nb1 0.267 0.681 0.844
Nb2 0.767 0.819 0.156
Nb3 0.733 0.319 0.156
Nb4 0.233 0.181 0.844
O1 0.565 0.790 0.957
O2 0.065 0.710 0.043
O3 0.151 0.942 0.821
O4 0.349 0.442 0.821
O5 0.435 0.210 0.043
O6 0.935 0.290 0.957
O7 0.849 0.058 0.179
O8 0.651 0.558 0.179
F1 0.554 0.312 0.379
F2 0.472 0.881 0.311
F3 0.054 0.188 0.621
F4 0.528 0.119 0.689
F5 0.972 0.619 0.689
F6 0.028 0.381 0.311
F7 0.446 0.688 0.621
F8 0.946 0.812 0.379

=====

no.,DFT total energy (eV/atom)
1,-13.645
2,-21.754
3,-21.601
4,-13.217
5,-31.340
6,-22.845
7,-13.819
8,-13.576
9,-12.064
10,-12.813
11,-21.063
12,-22.086
13,-18.582
14,-24.269
15,-17.994
16,-17.012
17,-7.204
18,-8.583
19,-10.916
20,-6.887
21,-10.066
22,-9.733
23,-13.193
24,-12.442